# 1
# GGA-PBE RbFe2Ru, optimized geometry
data_RbFe2Ru
_space_group_name_H-M_alt 'I -4 2 d'
_space_group_IT_number 122
_space_group_name_Hall 'I -4 2bw'
_cell_length_a 7.189
_cell_length_b 7.189
_cell_length_c 6.805
_cell_angle_alpha 90.00
_cell_angle_beta 90.00
_cell_angle_gamma 90.00
loop_
_atom_site_label
_atom_site_fract_x
_atom_site_fract_y
_atom_site_fract_z
Rb1 0.000 0.000 0.000
Fe1 0.146 0.750 0.625
Ru1 0.000 0.000 0.500
# **Formation energy from the elements**: 1.631 eV per atom
# **M_tot**: 0.00 μB/f.u.
# **Distance to the lowest polymorph of the same formula**: 0.0000 eV/atom

=====

# 2
# GGA-PBE Ce2BPd2Rh4, optimized geometry
data_Ce2BPd2Rh4
_space_group_name_H-M_alt 'I 4/m m m'
_space_group_IT_number 139
_space_group_name_Hall '-I 4 2'
_cell_length_a 5.944
_cell_length_b 5.944
_cell_length_c 8.200
_cell_angle_alpha 90.00
_cell_angle_beta 90.00
_cell_angle_gamma 90.00
loop_
_atom_site_label
_atom_site_fract_x
_atom_site_fract_y
_atom_site_fract_z
Ce1 0.000 0.500 0.250
B1 0.000 0.000 0.000
Pd1 0.000 0.000 0.263
Rh1 0.248 0.248 0.500
# **Formation energy from the elements**: -0.802 eV per atom
# **M_tot**: 0.00 μB/f.u.

=====

# 3
# GGA-PBE CrHgGe, optimized geometry
data_CrHgGe
_space_group_name_H-M_alt 'C 1 2/m 1'
_space_group_IT_number 12
_cell_length_a 6.030
_cell_length_b 7.805
_cell_length_c 5.737
_cell_angle_alpha 90.00
_cell_angle_beta 121.69
_cell_angle_gamma 90.00
loop_
_space_group_symop_operation_xyz
'x,y,z'
'-x,-y,-z'
'-x,y,-z'
'x,-y,z'
'x+1/2,y+1/2,z'
'-x+1/2,-y+1/2,-z'
'-x+1/2,y+1/2,-z'
'x+1/2,-y+1/2,z'
loop_
_atom_site_label
_atom_site_fract_x
_atom_site_fract_y
_atom_site_fract_z
Cr1 0.000 0.218 0.000
Hg1 0.000 0.249 0.500
Ge1 0.211 0.500 0.999
# **Formation energy from the elements**: 0.216 eV per atom
# **M_tot**: 2.08 μB/f.u.
# **Distance to the lowest polymorph of the same formula**: 0.0320 eV/atom

=====

# 4
# GGA-PBE Pm8Zn2Ge, optimized geometry
data_Pm8Zn2Ge
_space_group_name_H-M_alt 'C 1 2/m 1'
_space_group_IT_number 12
_cell_length_a 18.381
_cell_length_b 5.152
_cell_length_c 7.057
_cell_angle_alpha 90.00
_cell_angle_beta 106.64
_cell_angle_gamma 90.00
loop_
_space_group_symop_operation_xyz
'x,y,z'
'-x,-y,-z'
'-x,y,-z'
'x,-y,z'
'x+1/2,y+1/2,z'
'-x+1/2,-y+1/2,-z'
'-x+1/2,y+1/2,-z'
'x+1/2,-y+1/2,z'
loop_
_atom_site_label
_atom_site_fract_x
_atom_site_fract_y
_atom_site_fract_z
Pm1 0.023 0.000 0.274
Pm2 0.091 0.500 0.954
Pm3 0.166 0.500 0.472
Pm4 0.202 0.000 0.820
Zn1 0.181 0.000 0.221
Ge1 0.000 0.500 0.500
# **Formation energy from the elements**: -0.210 eV per atom
# **M_tot**: 0.00 μB/f.u.

=====

# 5
# GGA-PBE AcLa2Tl2Ag2, optimized geometry
data_AcLa2Tl2Ag2
_space_group_name_H-M_alt 'R -3 m'
_space_group_IT_number 166
_space_group_name_Hall '-R 3 2"'
_cell_length_a 4.9668
_cell_length_b 4.9668
_cell_length_c 28.4314
_cell_angle_alpha 90.00
_cell_angle_beta 90.00
_cell_angle_gamma 120.00
loop_
_atom_site_label
_atom_site_fract_x
_atom_site_fract_y
_atom_site_fract_z
Ac1 0.0000 0.0000 0.0000
La1 0.0000 0.0000 0.1395
Tl1 0.0000 0.0000 0.2624
Ag1 0.0000 0.0000 0.4259
# **Formation energy from the elements**: -0.255 eV per atom
# **M_tot**: 0.00 μB/f.u.

=====

# 6
# GGA-PBE ZnFe2As2, optimized geometry
data_ZnFe2As2
_space_group_name_H-M_alt 'P 4/m b m'
_space_group_IT_number 127
_space_group_name_Hall '-P 4 2ab'
_cell_length_a 7.091
_cell_length_b 7.091
_cell_length_c 2.820
_cell_angle_alpha 90.00
_cell_angle_beta 90.00
_cell_angle_gamma 90.00
loop_
_atom_site_label
_atom_site_fract_x
_atom_site_fract_y
_atom_site_fract_z
Zn1 0.000 0.000 0.000
Fe1 0.143 0.357 0.500
As1 0.151 0.651 0.000
# **Formation energy from the elements**: 0.192 eV per atom
# **M_tot**: 2.91 μB/f.u.
# **Distance to the lowest polymorph of the same formula**: 0.1085 eV/atom

=====

What did the first record say?
# GGA-PBE RbFe2Ru, optimized geometry
data_RbFe2Ru
_space_group_name_H-M_alt 'I -4 2 d'
_space_group_IT_number 122
_space_group_name_Hall 'I -4 2bw'
_cell_length_a 7.189
_cell_length_b 7.189
_cell_length_c 6.805
_cell_angle_alpha 90.00
_cell_angle_beta 90.00
_cell_angle_gamma 90.00
loop_
_atom_site_label
_atom_site_fract_x
_atom_site_fract_y
_atom_site_fract_z
Rb1 0.000 0.000 0.000
Fe1 0.146 0.750 0.625
Ru1 0.000 0.000 0.500
# **Formation energy from the elements**: 1.631 eV per atom
# **M_tot**: 0.00 μB/f.u.
# **Distance to the lowest polymorph of the same formula**: 0.0000 eV/atom